No. 1
Crystalline AlZnAs2 at its relaxed geometry, computed with PBE.

The space group is Immm, No. 71. The offset from the most stable computed form comes out at 8.25 kcal/mol of atoms. As for the formation energy from the elements: 15.9 kJ per mole of atoms.

a = 4.9443 Å, b = 4.9443 Å, c = 4.9443 Å
α = 135.05°, β = 115.87°, γ = 81.72°
Positions (direct):
As1 0.0046 0.0046 0.0000
As2 0.4954 0.4954 0.0000
Zn1 0.7500 0.2500 0.5000
Al1 0.2500 0.7500 0.5000

***

No. 2
Crystalline AlZnAs2 at its relaxed geometry, computed with PBE.

The space group is P2/m, No. 10. The offset from the most stable computed form comes out at 5.47 kcal/mol of atoms. As for the formation energy from the elements: 4.3 kJ per mole of atoms.

a = 3.6762 Å, b = 4.1078 Å, c = 5.3986 Å
α = 72.33°, β = 90.00°, γ = 90.00°
Positions (direct):
As1 0.0000 0.0266 0.9716
As2 0.0000 0.4734 0.5284
Zn1 0.5000 0.2500 0.2500
Al1 0.5000 0.7500 0.7500

***

No. 3
Crystalline AlZn2As at its relaxed geometry, computed with PBE.

The space group is P4mm, No. 99. The offset from the most stable computed form comes out at 0.40 kcal/mol of atoms. As for the formation energy from the elements: 7.4 kJ per mole of atoms.

a = 3.6501 Å, b = 3.6501 Å, c = 5.2967 Å
α = 90.00°, β = 90.00°, γ = 90.00°
Positions (direct):
As1 0.5000 0.5000 0.6978
Zn1 0.0000 0.0000 0.0527
Zn2 0.5000 0.5000 0.2068
Al1 0.0000 0.0000 0.5427

***

No. 4
Crystalline ZrAl2As at its relaxed geometry, computed with PBE.

The space group is I-42d, No. 122. As for the formation energy from the elements: -14.7 kJ per mole of atoms.

a = 7.5684 Å, b = 7.5684 Å, c = 6.0085 Å
α = 50.96°, β = 50.96°, γ = 90.00°
Positions (direct):
As1 0.5000 0.5000 0.0000
As2 0.2500 0.7500 0.5000
Al1 0.5878 0.1250 0.2500
Al2 0.1622 0.6250 0.2500
Al3 0.3750 0.4122 0.7500
Al4 0.8750 0.8378 0.7500
Zr1 0.0000 0.0000 0.0000
Zr2 0.7500 0.2500 0.5000

***

Number 1: total moment 0.0 μB/f.u., volume 74 Å³/f.u., E -3.41 eV per atom. Number 2: total moment 0.0 μB/f.u., volume 78 Å³/f.u., E -3.53 eV per atom. Number 3: total moment 0.0 μB/f.u., volume 71 Å³/f.u., E -2.66 eV per atom. Number 4: total moment 0.0 μB/f.u., volume 78 Å³/f.u., E -5.32 eV per atom.